A plane-wave DFT calculation with PBE was carried out for a relaxed CdRuRh2 crystal.

Cell lengths 4.516, 2.785, 4.893 Å; angles 90.05, 90.00, 90.00 degrees
Element x y z (fractional)
1 Rh 0.500 0.125 0.295
2 Rh 0.000 0.125 0.972
3 Cd 0.500 0.625 0.792
4 Ru 0.000 0.625 0.441

## Properties
Formation enthalpy at 0 K (eV per atom): 0.157
Total magnetization (μB/f.u.): 0.000
D(E_F) (states/eV per cell): 4.91